(1)
Li2V3CrO8, optimized geometry, DFT GGA-PBEsol; uncorrected energy = -116.32 eV/f.u.; density = 4.2 Mg/m³; energy relative to the elements, uncorrected = -2232 meV per atom; size of the total moment = 14.1 Bohr magnetons per cell
1.0
5.136 0.000 0.000
-1.589 5.482 0.000
-2.490 -2.182 9.771
Li V Cr O
4 6 2 16
direct
0.000 0.000 0.000
0.000 0.500 0.000
0.499 0.248 0.507
0.501 0.752 0.493
0.109 0.928 0.632
0.110 0.446 0.632
0.392 0.818 0.862
0.608 0.182 0.138
0.890 0.554 0.368
0.891 0.072 0.368
0.388 0.313 0.873
0.612 0.687 0.127
0.105 0.979 0.817
0.110 0.485 0.817
0.158 0.899 0.444
0.173 0.404 0.444
0.339 0.852 0.055
0.342 0.347 0.057
0.375 0.264 0.681
0.405 0.773 0.678
0.595 0.227 0.322
0.625 0.736 0.319
0.658 0.653 0.943
0.661 0.148 0.945
0.827 0.596 0.556
0.842 0.101 0.556
0.890 0.515 0.183
0.895 0.021 0.183

(2)
SrSnN2, optimized geometry, DFT GGA-PBEsol; uncorrected energy = -24.69 eV/f.u.; density = 5.9 Mg/m³; energy relative to the elements, uncorrected = -385 meV per atom; size of the total moment = 0.0 Bohr magnetons per cell
1.0
3.970 0.000 0.000
0.000 3.970 0.000
0.000 0.000 8.381
Sr Sn N
2 2 4
direct
0.250 0.250 0.139
0.750 0.750 0.861
0.250 0.250 0.607
0.750 0.750 0.393
0.250 0.250 0.849
0.250 0.750 0.500
0.750 0.250 0.500
0.750 0.750 0.151

(3)
SrBeGe2Au, optimized geometry, DFT GGA-PBEsol; energy of formation = 147 meV/atom; uncorrected energy = -18.91 eV/f.u.; density = 6.3 Mg/m³; size of the total moment = 0.0 Bohr magnetons per cell
1.0
5.131 0.000 0.000
0.000 5.131 0.000
0.000 0.000 4.400
Sr Be Ge Au
1 1 2 1
direct
0.000 0.000 0.000
0.500 0.500 0.000
0.000 0.500 0.500
0.500 0.000 0.500
0.500 0.500 0.500

(4)
ZrSc3Cu, optimized geometry, DFT GGA-PBEsol; energy of formation = 324 meV/atom; uncorrected energy = -31.62 eV/f.u.; density = 4.2 Mg/m³; size of the total moment = 0.3 Bohr magnetons per cell
1.0
4.869 0.000 0.000
0.000 4.869 0.000
0.000 0.000 4.869
Zr Sc Cu
1 3 1
direct
0.000 0.000 0.000
0.000 0.500 0.500
0.500 0.000 0.500
0.500 0.500 0.000
0.500 0.500 0.500

(5)
CrCoMoC2, optimized geometry, DFT GGA-PBEsol; energy of formation = 1897 meV/atom; uncorrected energy = -39.55 eV/f.u.; density = 6.2 Mg/m³; size of the total moment = 0.9 Bohr magnetons per cell
1.0
3.668 0.000 0.000
0.000 3.668 0.000
0.000 0.000 4.628
Cr Co Mo C
1 1 1 2
direct
0.000 0.000 0.000
0.500 0.500 0.500
0.000 0.000 0.500
0.000 0.500 0.000
0.500 0.000 0.000

(6)
Ag2BiH2, optimized geometry, DFT GGA-PBEsol; uncorrected energy = -15.88 eV/f.u.; density = 9.7 Mg/m³; size of the total moment = 0.0 Bohr magnetons per cell
1.0
-1.672 1.672 6.505
1.672 -1.672 6.505
1.672 1.672 -6.505
Ag Bi H
2 1 2
direct
0.172 0.172 0.000
0.828 0.828 0.000
0.500 0.500 0.000
0.250 0.750 0.500
0.750 0.250 0.500

(7)
LiMg, optimized geometry, DFT GGA-PBEsol; energy of formation = -49 meV/atom; uncorrected energy = -3.78 eV/f.u.; density = 1.3 Mg/m³; size of the total moment = 0.0 Bohr magnetons per cell
1.0
3.007 0.000 0.000
0.000 4.651 0.000
-1.457 0.000 5.775
Li Mg
2 2
direct
0.001 0.250 0.374
0.999 0.750 0.626
0.335 0.750 0.140
0.665 0.250 0.860

(8)
CrHgW2, optimized geometry, DFT GGA-PBEsol; energy of formation = 552 meV/atom; uncorrected energy = -36.22 eV/f.u.; density = 16.3 Mg/m³; size of the total moment = 0.0 Bohr magnetons per cell
1.0
2.730 0.000 0.000
0.000 4.353 0.000
-1.074 0.000 5.322
Cr Hg W
1 1 2
direct
0.000 0.000 0.000
0.919 0.500 0.292
0.264 0.500 0.813
0.549 0.000 0.573

(9)
LaZrCd4, optimized geometry, DFT GGA-PBEsol; energy of formation = -154 meV/atom; uncorrected energy = -20.15 eV/f.u.; density = 8.3 Mg/m³; size of the total moment = 1.6 Bohr magnetons per cell
1.0
0.000 4.086 4.086
4.086 0.000 4.086
4.086 4.086 0.000
La Zr Cd
1 1 4
direct
0.000 0.000 0.000
0.750 0.750 0.750
0.376 0.376 0.376
0.376 0.376 0.873
0.376 0.873 0.376
0.873 0.376 0.376

(10)
TbGa6, optimized geometry, DFT GGA-PBEsol; energy of formation = -370 meV/atom; uncorrected energy = -27.64 eV/f.u.; density = 7.5 Mg/m³; size of the total moment = 0.0 Bohr magnetons per cell
1.0
5.854 0.000 0.000
0.000 5.854 0.000
0.000 0.000 7.501
Tb Ga
2 12
direct
0.250 0.750 0.000
0.750 0.250 0.000
0.071 0.571 0.352
0.071 0.929 0.648
0.250 0.250 0.161
0.250 0.250 0.839
0.429 0.571 0.648
0.429 0.929 0.352
0.571 0.071 0.648
0.571 0.429 0.352
0.750 0.750 0.161
0.750 0.750 0.839
0.929 0.071 0.352
0.929 0.429 0.648

(11)
CoSnHg2I, optimized geometry, DFT GGA-PBEsol; uncorrected energy = -10.00 eV/f.u.; density = 6.7 Mg/m³; energy relative to the elements, uncorrected = 980 meV per atom; size of the total moment = 2.7 Bohr magnetons per cell
1.0
5.453 0.000 0.000
0.000 5.453 0.000
0.000 0.000 5.920
Co Sn Hg I
1 1 2 1
direct
0.000 0.000 0.000
0.500 0.500 0.500
0.000 0.500 0.500
0.500 0.000 0.500
0.500 0.500 0.000

(12)
LiCu3O3, optimized geometry, DFT GGA-PBEsol; uncorrected energy = -36.45 eV/f.u.; density = 5.9 Mg/m³; energy relative to the elements, uncorrected = -819 meV per atom; size of the total moment = 0.0 Bohr magnetons per cell
1.0
3.913 0.000 0.000
0.000 3.913 0.000
0.000 0.000 8.974
Li Cu O
2 6 6
direct
0.250 0.250 0.242
0.750 0.750 0.758
0.250 0.250 0.707
0.250 0.750 0.000
0.250 0.750 0.500
0.750 0.250 0.000
0.750 0.250 0.500
0.750 0.750 0.293
0.250 0.250 0.012
0.250 0.750 0.295
0.250 0.750 0.705
0.750 0.250 0.295
0.750 0.250 0.705
0.750 0.750 0.988